one:
A relaxed Y2CoHPd crystal, computed with PBE.

Properties
The calculation puts the magnetic moment at 0.2 μB per cell.

Cell: 4.9079 4.9079 3.4574 Å, 90.00 90.00 90.00°
Last column: nearest neighbours and their distance in Å.
Space group P4/mmm (No. 123)
Unique sites:
Y: 0.0000 0.5000 0.0000 (multiplicity 2)  2 H 2.45
Co: 0.0000 0.0000 0.5000 (multiplicity 1)  2 H 1.73
H: 0.0000 0.0000 0.0000 (multiplicity 1)  2 Co 1.73
Pd: 0.5000 0.5000 0.5000 (multiplicity 1)  8 Y 3.00

***

two:
A relaxed Y2CoHPd crystal, computed with PBE.

Properties
The calculation puts the magnetic moment at 0.7 μB per cell.

Cell: 4.8655 4.8655 3.6274 Å, 90.00 90.00 90.00°
Last column: nearest neighbours and their distance in Å.
Space group P4/mmm (No. 123)
Unique sites:
Y: 0.0000 0.5000 0.0000 (multiplicity 2)  2 H 2.43
Co: 0.0000 0.0000 0.5000 (multiplicity 1)  8 Y 3.03
H: 0.5000 0.5000 0.0000 (multiplicity 1)  2 Pd 1.81
Pd: 0.5000 0.5000 0.5000 (multiplicity 1)  2 H 1.81

***

Verdict on stability: two comes out at the bottom.

***

one:
A relaxed PmCoH6 crystal, computed with PBE.

Properties
The calculation puts the magnetic moment at 0.2 μB per cell.

Cell: 4.3990 4.3990 11.0355 Å, 90.00 90.00 120.00°
Last column: nearest neighbours and their distance in Å.
Space group R-3m (No. 166, hexagonal axes)
Unique sites:
Pm: 0.0000 0.0000 0.0000 (multiplicity 3)  12 H 2.43
Co: 0.0000 0.0000 0.5000 (multiplicity 3)  6 H 1.53
H: 0.0052 0.5026 0.9071 (multiplicity 18)  1 Co 1.53

***

two:
A relaxed PmCoH6 crystal, computed with PBE.

Properties
The calculation puts the magnetic moment at 0.5 μB per cell.

Cell: 7.2828 7.2828 7.2828 Å, 90.00 90.00 90.00°
Last column: nearest neighbours and their distance in Å.
Space group Fm-3m (No. 225)
Unique sites:
Pm: 0.0000 0.0000 0.0000 (multiplicity 4)  6 H 2.14
Co: 0.0000 0.0000 0.5000 (multiplicity 4)  6 H 1.50
H: 0.0000 0.0000 0.2938 (multiplicity 24)  1 Co 1.50

***

Verdict on stability: two comes out at the bottom.

***

one:
A relaxed PmCoH crystal, computed with PBE.

Properties
The calculation puts the magnetic moment at 2.2 μB per cell.

Cell: 6.8182 3.5623 8.5437 Å, 90.00 110.29 90.00°
Last column: nearest neighbours and their distance in Å.
Space group C2/m (No. 12)
Unique sites:
Pm: 0.0384 0.0000 0.3001 (multiplicity 4)  1 H 2.39, 1 Co 2.66
Co: 0.1991 0.0000 0.0575 (multiplicity 4)  3 H 1.83-1.84
H: 0.1872 0.5000 0.1079 (multiplicity 4)  3 Co 1.83-1.84

***

two:
A relaxed PmCoH crystal, computed with PBE.

Properties
The calculation puts the magnetic moment at 0.0 μB per cell.

Cell: 3.7826 3.7826 6.8876 Å, 90.00 90.00 90.00°
Last column: nearest neighbours and their distance in Å.
Space group I4mm (No. 107)
Unique sites:
Pm: 0.0000 0.0000 0.0000 (multiplicity 2)  1 H 2.34
Co: 0.0000 0.0000 0.5606 (multiplicity 2)  1 H 1.52
H: 0.0000 0.0000 0.3397 (multiplicity 2)  1 Co 1.52

***

Verdict on stability: two comes out at the bottom.

***

one:
A relaxed Pr4Co2H crystal, computed with PBE.

Properties
The calculation puts the magnetic moment at 0.0 μB per cell.

Cell: 4.8424 4.8424 13.9751 Å, 90.00 90.00 90.00°
Last column: nearest neighbours and their distance in Å.
Space group I4/mmm (No. 139)
Unique sites:
Pr: 0.0000 0.0000 0.1981 (multiplicity 4)  1 Co 2.58, 1 H 2.77
Pr: 0.0000 0.5000 0.0000 (multiplicity 4)  2 H 2.42
Co: 0.0000 0.0000 0.3825 (multiplicity 4)  1 Pr 2.58
H: 0.0000 0.0000 0.0000 (multiplicity 2)  4 Pr 2.42

***

two:
A relaxed Pr4Co2H crystal, computed with PBE.

Properties
The calculation puts the magnetic moment at 0.0 μB per cell.

Cell: 14.3591 3.9684 6.2935 Å, 90.00 111.13 90.00°
Last column: nearest neighbours and their distance in Å.
Space group C2/m (No. 12)
Unique sites:
Pr: 0.1036 0.0000 0.2706 (multiplicity 4)  1 H 2.42, 2 Co 2.70
Pr: 0.1468 0.5000 0.7847 (multiplicity 4)  3 Co 2.82-3.16, 2 H 2.98
Co: 0.2370 0.5000 0.3220 (multiplicity 4)  5 Pr 2.70-2.82, 2 Co 2.91
H: 0.0000 0.0000 0.5000 (multiplicity 2)  2 Pr 2.42

***

Verdict on stability: one comes out at the bottom.

***

one:
A relaxed PrCoH crystal, computed with PBE.

Properties
The calculation puts the magnetic moment at 0.0 μB per cell.

Cell: 3.7824 3.7824 3.6893 Å, 90.00 90.00 120.00°
Last column: nearest neighbours and their distance in Å.
Space group P-6m2 (No. 187)
Unique sites:
Pr: 0.0000 0.0000 0.0000 (multiplicity 1)  6 H 2.86, 6 Co 2.86
Co: 0.6667 0.3333 0.5000 (multiplicity 1)  3 H 2.18
H: 0.3333 0.6667 0.5000 (multiplicity 1)  3 Co 2.18

***

two:
A relaxed PrCoH crystal, computed with PBE.

Properties
The calculation puts the magnetic moment at 0.0 μB per cell.

Cell: 3.3768 13.9397 16.0824 Å, 90.00 90.00 90.00°
Last column: nearest neighbours and their distance in Å.
Space group Fddd (No. 70, origin choice 2)
Unique sites:
Pr: 0.1250 0.1250 0.2727 (multiplicity 16)  2 H 2.57, 4 Co 2.75-2.78
Co: 0.1250 0.0210 0.1250 (multiplicity 16)  2 H 1.71
H: 0.1250 0.0026 0.6250 (multiplicity 16)  2 Co 1.71

***

Verdict on stability: one comes out at the bottom.

***

one:
A relaxed Co3HPt crystal, computed with PBE.

Properties
The calculation puts the magnetic moment at 6.9 μB per cell.

Cell: 4.6522 4.6522 4.6522 Å, 90.00 90.00 90.00°
Last column: nearest neighbours and their distance in Å.
Space group Pm-3m (No. 221)
Unique sites:
Co: 0.0000 0.0000 0.5000 (multiplicity 3)  2 Pt 2.33
H: 0.5000 0.5000 0.5000 (multiplicity 1)  12 Co 3.29
Pt: 0.0000 0.0000 0.0000 (multiplicity 1)  6 Co 2.33

***

two:
A relaxed Co3HPt crystal, computed with PBE.

Properties
The calculation puts the magnetic moment at 5.0 μB per cell.

Cell: 3.6949 3.6949 3.6949 Å, 90.00 90.00 90.00°
Last column: nearest neighbours and their distance in Å.
Space group Pm-3m (No. 221)
Unique sites:
Co: 0.0000 0.0000 0.5000 (multiplicity 3)  2 H 1.85
H: 0.0000 0.0000 0.0000 (multiplicity 1)  6 Co 1.85
Pt: 0.5000 0.5000 0.5000 (multiplicity 1)  12 Co 2.61

***

Verdict on stability: one comes out at the bottom.